ZnGe2Te2: optimized geometry, GGA-PBE.

Cell and atoms, written as POSCAR:
```
ZnGe2Te2
1.0
7.812 0.000 0.000
0.000 7.812 0.000
0.000 0.000 4.052
Zn Ge Te
2 4 4
direct
0.000 0.000 0.000
0.500 0.500 0.000
0.148 0.352 0.000
0.352 0.852 0.000
0.648 0.148 0.000
0.852 0.648 0.000
0.165 0.665 0.500
0.335 0.165 0.500
0.665 0.835 0.500
0.835 0.335 0.500
```

Summary:
* raw formation energy: 0.19 eV per atom
* crystal system: tetragonal
* E above lowest polymorph: 0.000 eV per atom
* E_tot: -31.69 eV for the cell shown
* V: 247 Å³/cell